1.
LaPrGa: relaxed, PBE.

Computed properties:
energy relative to the lowest polymorph listed for this composition = 0.000 eV/atom
ΔE_f = -9.453 kcal/mol of atoms
density = 6.5 g/cm3
symmetry = No. 189

Unit cell a=4.5897 b=8.2277 c=8.2277 alpha=120.00 beta=90.00 gamma=90.00
Closest atoms and distances in Å follow each position.
Positions (direct):
Ga 0.0000 0.6667 0.3333  3 Pr 3.04, 6 La 3.39
Ga 0.5000 0.0000 0.0000  6 Pr 3.19, 3 La 3.34
Ga 0.0000 0.3333 0.6667  3 Pr 3.04, 6 La 3.39
La 0.5000 0.0000 0.5940  5 Ga 3.34-3.39, 6 Pr 3.52-3.73
La 0.5000 0.5940 0.0000  5 Ga 3.34-3.39, 6 Pr 3.52-3.73
La 0.5000 0.4060 0.4060  5 Ga 3.34-3.39, 6 Pr 3.52-3.73
Pr 0.0000 0.2694 0.0000  4 Ga 3.04-3.19
Pr 0.0000 0.0000 0.2694  4 Ga 3.04-3.19
Pr 0.0000 0.7306 0.7306  4 Ga 3.04-3.19

=====

2.
LaPrGa2: relaxed, PBE.

Computed properties:
energy relative to the lowest polymorph listed for this composition = 0.237 eV/atom
ΔE_f = -8.079 kcal/mol of atoms
density = 5.9 g/cm3
symmetry = No. 166

Unit cell a=3.8875 b=3.8875 c=9.2560 alpha=77.88 beta=77.88 gamma=60.00
Closest atoms and distances in Å follow each position.
Positions (direct):
La 0.0000 0.0000 0.0000  6 Ga 3.19
Ga 0.2490 0.2490 0.2531  3 Pr 3.16, 3 La 3.19
Ga 0.7510 0.7510 0.7469  3 Pr 3.16, 3 La 3.19
Pr 0.5000 0.5000 0.5000  6 Ga 3.16

=====

3.
La4PrGa2: relaxed, PBE.

Computed properties:
ΔE_f = -5.811 kcal/mol of atoms
density = 6.3 g/cm3
symmetry = No. 65

Unit cell a=4.9063 b=6.7624 c=6.7624 alpha=101.43 beta=90.00 gamma=90.00
Closest atoms and distances in Å follow each position.
Positions (direct):
Ga 0.0000 0.2902 0.7098  8 La 3.28-3.48, 2 Pr 3.29
Ga 0.0000 0.7098 0.2902  8 La 3.28-3.48, 2 Pr 3.29
La 0.0000 0.1983 0.1983  4 Ga 3.39-3.48, 5 La 3.40-3.61, 2 Pr 3.56
La 0.0000 0.8017 0.8017  4 Ga 3.39-3.48, 5 La 3.40-3.61, 2 Pr 3.56
La 0.5000 0.5000 0.0000  4 Ga 3.28, 2 Pr 3.38, 4 La 3.61
La 0.5000 0.0000 0.5000  4 Ga 3.28, 2 Pr 3.38, 4 La 3.61
Pr 0.5000 0.5000 0.5000  4 Ga 3.29, 8 La 3.38-3.56

=====

4.
LaPr3Ga: relaxed, PBE.

Computed properties:
ΔE_f = -3.569 kcal/mol of atoms
density = 6.4 g/cm3
symmetry = No. 1

Unit cell a=6.8910 b=7.3796 c=9.4181 alpha=85.23 beta=127.67 gamma=116.39
Closest atoms and distances in Å follow each position.
Positions (direct):
Pr 0.3962 0.2903 0.2286  2 Ga 3.13-3.29, 1 La 3.36, 2 Pr 3.36-3.42
Pr 0.1681 0.2727 0.7752  2 Ga 3.12-3.28, 2 La 3.33-3.37, 1 Pr 3.35
Pr 0.0239 0.6602 0.6295  2 Ga 3.08-3.12, 2 Pr 3.35-3.42
Pr 0.8255 0.8081 0.1965  2 Ga 3.14-3.29, 1 Pr 3.43, 1 La 3.50
Pr 0.7317 0.7488 0.7975  2 Ga 3.14-3.32, 2 Pr 3.43-3.50
Pr 0.0125 0.3873 0.2862  2 Ga 3.14-3.38, 1 Pr 3.36
Ga 0.4121 0.9897 0.0008  1 Ga 2.78, 1 Pr 3.08
Ga 0.1526 0.5738 0.0008  1 Ga 2.78, 1 La 3.11
La 0.5540 0.9084 0.3761  2 Ga 3.11-3.12, 2 Pr 3.36-3.37
La 0.5401 0.1772 0.7089  2 Ga 3.18-3.39, 1 Pr 3.33

=====

5.
La12Pr3Ga: relaxed, PBE.

Computed properties:
ΔE_f = -1.029 kcal/mol of atoms
density = 6.4 g/cm3
symmetry = No. 123

Unit cell a=5.1691 b=5.1691 c=20.9050 alpha=90.00 beta=90.00 gamma=90.00
Closest atoms and distances in Å follow each position.
Positions (direct):
La 0.0000 0.5000 0.6288  8 La 3.66-3.73, 4 Pr 3.71-3.73
La 0.5000 0.0000 0.8847  8 La 3.53-3.74, 2 Ga 3.53, 2 Pr 3.73
La 0.5000 0.5000 0.2449  4 Pr 3.66, 8 La 3.70-3.74
La 0.5000 0.0000 0.3712  8 La 3.66-3.73, 4 Pr 3.71-3.73
La 0.5000 0.5000 0.5000  4 Pr 3.66, 8 La 3.73
La 0.5000 0.5000 0.7551  4 Pr 3.66, 8 La 3.70-3.74
La 0.5000 0.5000 0.0000  8 La 3.53, 4 Ga 3.66
La 0.0000 0.5000 0.8847  2 Ga 3.53, 8 La 3.53-3.74, 2 Pr 3.73
La 0.5000 0.0000 0.6288  8 La 3.66-3.73, 4 Pr 3.71-3.73
La 0.0000 0.5000 0.3712  8 La 3.66-3.73, 4 Pr 3.71-3.73
La 0.5000 0.0000 0.1153  8 La 3.53-3.74, 2 Ga 3.53, 2 Pr 3.73
La 0.0000 0.5000 0.1153  8 La 3.53-3.74, 2 Ga 3.53, 2 Pr 3.73
Pr 0.0000 0.0000 0.7562  12 La 3.66-3.73
Pr 0.0000 0.0000 0.5000  12 La 3.66-3.73
Pr 0.0000 0.0000 0.2438  12 La 3.66-3.73
Ga 0.0000 0.0000 0.0000  12 La 3.53-3.66

=====

6.
La4PrGa3: relaxed, PBE.

Computed properties:
ΔE_f = -10.653 kcal/mol of atoms
density = 6.5 g/cm3
symmetry = No. 140

Unit cell a=6.1495 b=9.2343 c=9.2343 alpha=83.63 beta=70.55 gamma=70.55
Closest atoms and distances in Å follow each position.
Positions (direct):
La 0.2827 0.1294 0.3053  6 Ga 3.20-3.54, 1 La 3.39
La 0.9120 0.8706 0.3053  6 Ga 3.20-3.54, 1 La 3.39
La 0.5880 0.6947 0.1294  6 Ga 3.20-3.54, 1 La 3.39
La 0.2173 0.6947 0.8706  6 Ga 3.20-3.54, 1 La 3.39
La 0.4120 0.3053 0.8706  6 Ga 3.20-3.54, 1 La 3.39
La 0.0880 0.1294 0.6947  6 Ga 3.20-3.54, 1 La 3.39
La 0.7827 0.3053 0.1294  6 Ga 3.20-3.54, 1 La 3.39
La 0.7173 0.8706 0.6947  6 Ga 3.20-3.54, 1 La 3.39
Ga 0.3413 0.8174 0.5000  2 Pr 3.16, 8 La 3.20-3.54
Ga 0.8413 0.5000 0.8174  2 Pr 3.16, 8 La 3.20-3.54
Ga 0.2500 0.0000 0.0000  2 Ga 3.07, 8 La 3.27
Ga 0.7500 0.0000 0.0000  2 Ga 3.07, 8 La 3.27
Ga 0.6587 0.1826 0.5000  2 Pr 3.16, 8 La 3.20-3.54
Ga 0.1587 0.5000 0.1826  2 Pr 3.16, 8 La 3.20-3.54
Pr 0.2500 0.5000 0.5000  2 Pr 3.07, 4 Ga 3.16
Pr 0.7500 0.5000 0.5000  2 Pr 3.07, 4 Ga 3.16

=====

7.
LaPr4Ga: relaxed, PBE.

Computed properties:
energy relative to the lowest polymorph listed for this composition = 0.000 eV/atom
ΔE_f = -3.655 kcal/mol of atoms
density = 6.5 g/cm3
symmetry = No. 123

Unit cell a=3.7217 b=3.7217 c=14.3239 alpha=90.00 beta=90.00 gamma=90.00
Closest atoms and distances in Å follow each position.
Positions (direct):
Pr 0.5000 0.5000 0.8156  8 Pr 3.72-3.75, 4 La 3.73
Pr 0.0000 0.0000 0.6290  4 Ga 3.22
Pr 0.5000 0.5000 0.1844  8 Pr 3.72-3.75, 4 La 3.73
Pr 0.0000 0.0000 0.3710  4 Ga 3.22
La 0.0000 0.0000 0.0000  4 La 3.72, 8 Pr 3.73
Ga 0.5000 0.5000 0.5000  8 Pr 3.22

=====

8.
La4PrGa4: relaxed, PBE.

Computed properties:
ΔE_f = -9.299 kcal/mol of atoms
density = 5.9 g/cm3
symmetry = No. 87

Unit cell a=4.9796 b=10.5155 c=10.5155 alpha=90.00 beta=90.00 gamma=90.00
Closest atoms and distances in Å follow each position.
Positions (direct):
Pr 0.0000 0.0000 0.0000  8 Ga 3.13
Pr 0.5000 0.5000 0.5000  8 Ga 3.13
La 0.4999 0.6355 0.1485  4 Ga 3.09-3.23
La 0.0001 0.1354 0.6485  4 Ga 3.09-3.23
La 0.4999 0.3645 0.8515  4 Ga 3.09-3.23
La 0.9999 0.6485 0.8646  4 Ga 3.09-3.23
La 0.5001 0.1485 0.3645  4 Ga 3.09-3.23
La 0.9999 0.3515 0.1354  4 Ga 3.09-3.23
La 0.0001 0.8646 0.3515  4 Ga 3.09-3.23
La 0.5001 0.8515 0.6355  4 Ga 3.09-3.23
Ga 0.9999 0.5691 0.3330  2 Ga 2.69
Ga 0.5001 0.9309 0.1670  2 Ga 2.69
Ga 0.4999 0.8330 0.9309  2 Ga 2.69
Ga 0.0001 0.3330 0.4309  2 Ga 2.69
Ga 0.4999 0.1670 0.0691  2 Ga 2.69
Ga 0.5001 0.0691 0.8330  2 Ga 2.69
Ga 0.0001 0.6670 0.5691  2 Ga 2.69
Ga 0.9999 0.4309 0.6670  2 Ga 2.69

=====

9.
La2Pr5Ga4: relaxed, PBE.

Computed properties:
ΔE_f = -1.102 kcal/mol of atoms
density = 5.6 g/cm3
symmetry = No. 71

Unit cell a=3.9799 b=12.9258 c=9.9286 alpha=130.61 beta=101.56 gamma=90.00
Closest atoms and distances in Å follow each position.
Positions (direct):
Ga 0.4120 0.4120 0.8240  1 Ga 2.56
Ga 0.0000 0.1616 0.0000  4 Pr 2.88-2.91
Ga 0.5880 0.5880 0.1760  1 Ga 2.56
Ga 0.0000 0.8384 0.0000  4 Pr 2.88-2.91
La 0.7962 0.7962 0.5923  1 Ga 3.03
La 0.2038 0.2038 0.4077  1 Ga 3.03
Pr 0.1405 0.4623 0.2811  3 Ga 2.91-3.14
Pr 0.8595 0.1812 0.7189  3 Ga 2.91-3.14
Pr 0.1405 0.8188 0.2811  3 Ga 2.91-3.14
Pr 0.8595 0.5377 0.7189  3 Ga 2.91-3.14
Pr 0.5000 0.0000 0.0000  4 Ga 2.88

=====

10.
La4Pr3Ga4: relaxed, PBE.

Computed properties:
ΔE_f = -9.394 kcal/mol of atoms
density = 6.4 g/cm3
symmetry = No. 71

Unit cell a=3.7128 b=9.2915 c=10.7352 alpha=115.64 beta=99.96 gamma=90.00
Closest atoms and distances in Å follow each position.
Positions (direct):
Ga 0.5000 0.2237 0.0000  6 Pr 3.17-3.30, 2 La 3.33
Ga 0.2770 0.7770 0.5540  2 Pr 3.09, 6 La 3.20-3.22
Ga 0.7230 0.2230 0.4460  2 Pr 3.09, 6 La 3.20-3.22
Ga 0.5000 0.7763 0.0000  6 Pr 3.17-3.30, 2 La 3.33
La 0.6679 0.4938 0.3357  4 Ga 3.20-3.33, 1 La 3.23
La 0.3321 0.1581 0.6643  4 Ga 3.20-3.33, 1 La 3.23
La 0.6679 0.8419 0.3357  4 Ga 3.20-3.33, 1 La 3.23
La 0.3321 0.5062 0.6643  4 Ga 3.20-3.33, 1 La 3.23
Pr 0.0930 0.0930 0.1860  6 Ga 3.09-3.30
Pr 0.0000 0.5000 0.0000  4 Ga 3.17
Pr 0.9070 0.9070 0.8140  6 Ga 3.09-3.30

=====

11.
La4PrGa: relaxed, PBE.

Computed properties:
energy relative to the lowest polymorph listed for this composition = 0.350 eV/atom
ΔE_f = 4.007 kcal/mol of atoms
density = 5.7 g/cm3
symmetry = No. 6

Unit cell a=5.3211 b=5.3277 c=7.8400 alpha=89.98 beta=89.96 gamma=90.00
Closest atoms and distances in Å follow each position.
Positions (direct):
Ga 0.0014 0.9972 0.4982  8 La 3.19
La 0.0012 0.4971 0.2742  2 Ga 3.19, 2 Pr 3.43, 1 La 3.51
La 0.5013 0.9975 0.7222  2 Ga 3.19, 2 Pr 3.43, 1 La 3.52
La 0.5014 0.9970 0.2736  2 Ga 3.19, 2 Pr 3.43, 1 La 3.52
La 0.0014 0.4973 0.7221  2 Ga 3.19, 2 Pr 3.43, 1 La 3.51
Pr 0.5011 0.4976 0.9985  8 La 3.43

=====

12.
La6Pr2Ga: relaxed, PBE.

Computed properties:
ΔE_f = -2.857 kcal/mol of atoms
density = 6.3 g/cm3
symmetry = No. 189

Unit cell a=3.7863 b=9.7721 c=9.7709 alpha=120.00 beta=90.00 gamma=90.00
Closest atoms and distances in Å follow each position.
Positions (direct):
Pr 0.0000 0.6668 0.3336  9 La 3.63-3.65, 2 Pr 3.79
Pr 0.0000 0.3332 0.6664  9 La 3.63-3.65, 2 Pr 3.79
Ga 0.5000 0.0001 0.0000  6 La 3.19
La 0.0000 0.9998 0.2622  2 Ga 3.19
La 0.5000 0.3693 0.3692  1 Ga 3.61, 4 Pr 3.63, 6 La 3.73-3.79
La 0.5000 0.0001 0.6308  1 Ga 3.61, 4 Pr 3.63, 6 La 3.73-3.79
La 0.5000 0.6304 0.0000  1 Ga 3.61, 4 Pr 3.63, 6 La 3.73-3.79
La 0.0000 0.2625 0.0000  2 Ga 3.19
La 0.0000 0.7377 0.7378  2 Ga 3.19